--- one ---
AcZrAl2, optimized geometry, DFT PBE; Fermi-level density of states = 3.1 states/eV/f.u.; V = 105.25 Å³/cell
1.0
-1.409 -1.017 -3.230
-3.235 -1.723 -0.128
-5.762 7.050 -1.790
Ac Al Zr
1 2 1
Direct
0.500 0.500 0.500
0.739 0.739 0.782
0.261 0.261 0.218
0.000 0.000 0.000

---

--- two ---
AcZrAl2, optimized geometry, DFT PBE; Fermi-level density of states = 4.8 states/eV/f.u.; V = 99.11 Å³/cell
1.0
3.739 0.000 0.000
0.000 3.739 0.000
0.000 0.000 7.091
Ac Al Zr
1 2 1
Direct
0.500 0.500 0.500
0.000 0.000 0.811
0.000 0.000 0.189
0.500 0.500 0.000

---

Top of the stability list: two, leading by 0.291 eV/atom.

---

--- one ---
AcAs2, optimized geometry, DFT PBE; Fermi-level density of states = 1.5 states/eV/f.u.; V = 84.17 Å³/cell
1.0
-3.415 1.954 1.897
-2.520 -1.176 -3.368
3.036 -4.295 3.070
Ac As
1 2
Direct
0.500 0.500 0.000
0.207 0.207 0.289
0.793 0.793 0.711

---

--- two ---
AcAs2, optimized geometry, DFT PBE; Fermi-level density of states = 1.5 states/eV/f.u.; V = 148.85 Å³/cell
1.0
-1.947 5.376 1.642
-4.240 2.722 -3.162
-5.465 0.620 2.266
Ac As
2 4
Direct
0.000 0.000 0.000
0.250 0.250 0.250
0.125 0.625 0.625
0.625 0.125 0.625
0.625 0.625 0.625
0.625 0.625 0.125

---

Top of the stability list: one, leading by 0.347 eV/atom.

---

--- one ---
AcAs5, optimized geometry, DFT PBE; Fermi-level density of states = 0.4 states/eV/f.u.; V = 308.97 Å³/cell
1.0
4.928 0.033 0.000
-2.010 5.886 0.000
0.000 0.000 10.628
Ac As
2 10
Direct
0.646 0.923 0.250
0.354 0.077 0.750
0.755 0.443 0.250
0.245 0.557 0.750
0.855 0.514 0.907
0.145 0.486 0.407
0.145 0.486 0.093
0.855 0.514 0.593
0.777 0.888 0.943
0.223 0.112 0.443
0.223 0.112 0.057
0.777 0.888 0.557

---

--- two ---
AcAs5, optimized geometry, DFT PBE; Fermi-level density of states = 3.4 states/eV/f.u.; V = 138.57 Å³/cell
1.0
3.948 0.000 0.000
0.000 5.220 0.000
0.000 -2.610 6.724
Ac As
1 5
Direct
0.000 0.000 0.000
0.000 0.649 0.299
0.000 0.351 0.701
0.500 0.500 0.000
0.500 0.218 0.436
0.500 0.782 0.564

---

Top of the stability list: one, leading by 0.189 eV/atom.

---

--- one ---
AcAs, optimized geometry, DFT PBE; Fermi-level density of states = 0.3 states/eV/f.u.; V = 66.70 Å³/cell
1.0
-1.519 -3.509 2.471
1.754 -0.809 4.122
-2.503 0.755 3.727
Ac As
1 1
Direct
0.500 0.500 0.500
0.000 0.000 0.000

---

--- two ---
AcAs, optimized geometry, DFT PBE; Fermi-level density of states = 0.8 states/eV/f.u.; V = 58.09 Å³/cell
1.0
-1.643 1.276 3.267
1.116 -3.230 1.823
3.325 1.715 1.002
Ac As
1 1
Direct
0.000 0.000 0.000
0.500 0.500 0.500

---

Top of the stability list: one, leading by 0.349 eV/atom.

---

--- one ---
Ac2AsAu, optimized geometry, DFT PBE; Fermi-level density of states = 4.6 states/eV/f.u.; V = 133.67 Å³/cell
1.0
-3.212 2.234 2.117
-3.977 0.530 -1.920
-4.859 -5.720 3.336
Ac Au As
2 1 1
Direct
0.248 0.248 0.257
0.752 0.752 0.743
0.000 0.000 0.000
0.500 0.500 0.500

---

--- two ---
Ac2AsAu, optimized geometry, DFT PBE; Fermi-level density of states = 2.0 states/eV/f.u.; V = 133.26 Å³/cell
1.0
-3.660 1.998 -1.380
-1.599 -0.865 -3.998
-6.136 -5.554 1.243
Ac As Au
2 1 1
Direct
0.080 0.080 0.761
0.255 0.255 0.236
0.666 0.666 0.001
0.499 0.499 0.502

---

--- three ---
Ac2AsAu, optimized geometry, DFT PBE; Fermi-level density of states = 2.6 states/eV/f.u.; V = 258.77 Å³/cell
1.0
4.627 0.000 0.000
0.000 4.328 -0.769
0.000 0.061 12.913
Ac As Au
4 2 2
Direct
0.750 0.688 0.375
0.250 0.312 0.625
0.750 0.934 0.868
0.250 0.066 0.132
0.250 0.188 0.376
0.750 0.812 0.624
0.250 0.459 0.917
0.750 0.541 0.083

---

Top of the stability list: three, leading by 0.063 eV/atom.

---

--- one ---
Ac2AsAu, optimized geometry, DFT PBE; Fermi-level density of states = 2.3 states/eV/f.u.; V = 117.44 Å³/cell
1.0
3.939 0.000 0.000
0.000 3.939 0.000
0.000 0.000 7.567
Ac Au As
2 1 1
Direct
0.000 0.000 0.740
0.000 0.000 0.260
0.500 0.500 0.000
0.500 0.500 0.500

---

--- two ---
Ac2AsAu, optimized geometry, DFT PBE; Fermi-level density of states = 4.5 states/eV/f.u.; V = 118.56 Å³/cell
1.0
5.514 0.000 0.000
2.757 4.775 0.000
2.757 1.592 4.502
Ac Au As
2 1 1
Direct
0.250 0.250 0.250
0.750 0.750 0.750
0.500 0.500 0.500
0.000 0.000 0.000

---

Top of the stability list: one, leading by 0.101 eV/atom.